1.
InCu5Au8 | GGA-PBE | relaxed

## Properties
- total magnetization (μB/f.u.) = 0.00
- ΔH_f (0 K) (meV/atom) = 43
- symmetry = No. 82

The structure in POSCAR format:
```
InCu5Au8
1.0
-6.109 -2.962 0.009
2.948 -0.783 6.065
-0.780 6.609 -1.345
Cu Au In
5 8 1
direct
0.776 0.649 0.681
0.500 0.000 0.500
0.032 0.351 0.127
0.319 0.095 0.968
0.873 0.905 0.224
0.328 0.258 0.388
0.612 0.940 0.870
0.645 0.399 0.903
0.097 0.742 0.496
0.130 0.742 0.070
0.930 0.060 0.672
0.504 0.601 0.246
0.754 0.258 0.355
0.250 0.500 0.750
```



2.
K3U3TiSe8 | GGA-PBE | relaxed

## Properties
- total magnetization (μB/f.u.) = 9.00
- symmetry = No. 166
- formation energy (no corrections) (eV/atom) = -1.234

The structure in POSCAR format:
```
K3U3TiSe8
1.0
-2.101 -3.509 -7.025
7.816 1.581 1.575
-3.737 -7.041 4.635
K Se U Ti
3 8 3 1
direct
0.000 0.000 0.000
0.500 0.500 0.000
0.000 0.500 0.000
0.777 0.027 0.304
0.777 0.554 0.304
0.251 0.027 0.304
0.749 0.973 0.696
0.263 0.526 0.288
0.737 0.474 0.712
0.223 0.446 0.696
0.223 0.973 0.696
0.500 0.000 0.500
0.500 0.500 0.500
0.000 0.500 0.500
0.000 0.000 0.500
```



3.
Sm6TlAs2Se3 | GGA-PBE | relaxed

## Properties
- total magnetization (μB/f.u.) = 0.00
- symmetry = No. 12
- formation energy (no corrections) (eV/atom) = -1.488

The structure in POSCAR format:
```
Sm6TlAs2Se3
1.0
-3.102 -2.836 -0.105
1.730 -2.191 8.108
-4.683 8.203 0.982
Sm As Se Tl
6 2 3 1
direct
0.330 0.907 0.660
0.330 0.423 0.660
0.002 0.262 0.005
0.670 0.093 0.340
0.998 0.738 0.995
0.670 0.577 0.340
0.168 0.335 0.335
0.832 0.665 0.665
0.833 0.168 0.667
0.167 0.832 0.333
0.500 0.500 0.000
0.500 0.000 0.000
```



4.
TaCoGeMo2 | GGA-PBE | relaxed

## Properties
- total magnetization (μB/f.u.) = 0.00
- ΔH_f (0 K) (meV/atom) = 869
- symmetry = No. 123

The structure in POSCAR format:
```
TaCoGeMo2
1.0
4.522 0.000 0.000
0.000 4.200 0.000
0.000 0.000 4.522
Ta Mo Ge Co
1 2 1 1
direct
0.500 0.500 0.500
0.500 0.000 0.000
0.000 0.000 0.500
0.000 0.500 0.000
0.000 0.000 0.000
```



5.
ZnCrCd2 | GGA-PBE | relaxed

## Properties
- total magnetization (μB/f.u.) = 3.79
- ΔH_f (0 K) (meV/atom) = 377
- symmetry = No. 166

The structure in POSCAR format:
```
ZnCrCd2
1.0
9.345 -0.168 -0.098
8.882 2.911 -0.098
8.882 1.337 2.588
Zn Cd Cr
1 2 1
direct
0.750 0.750 0.750
0.500 0.500 0.500
0.000 0.000 0.000
0.250 0.250 0.250
```



6.
BeInP2S | GGA-PBE | relaxed

## Properties
- total magnetization (μB/f.u.) = 0.00
- ΔE to the lowest computed polymorph (meV/atom) = 0.0
- symmetry = No. 123
- formation energy (no corrections) (eV/atom) = 0.478

The structure in POSCAR format:
```
BeInP2S
1.0
-3.395 0.717 -2.365
-2.377 -2.047 2.792
-0.807 4.294 2.461
P In S Be
2 1 1 1
direct
0.500 0.000 0.000
0.000 0.500 0.000
0.500 0.500 0.500
0.000 0.000 0.500
0.000 0.000 0.000
```



7.
NaBeRuAu2 | GGA-PBE | relaxed

## Properties
- total magnetization (μB/f.u.) = 1.37
- ΔH_f (0 K) (meV/atom) = 702
- symmetry = No. 123

The structure in POSCAR format:
```
NaBeRuAu2
1.0
4.369 0.000 0.000
0.000 4.508 0.000
0.000 0.000 4.369
Au Na Be Ru
2 1 1 1
direct
0.000 0.000 0.500
0.500 0.000 0.000
0.000 0.500 0.000
0.000 0.000 0.000
0.500 0.500 0.500
```



8.
U2PaV | GGA-PBE | relaxed

## Properties
- total magnetization (μB/f.u.) = 0.01
- ΔE to the lowest computed polymorph (meV/atom) = 31.5
- ΔH_f (0 K) (meV/atom) = 323
- symmetry = No. 123

The structure in POSCAR format:
```
U2PaV
1.0
-0.187 2.522 1.567
2.366 -2.304 3.991
4.597 1.497 -1.861
U V Pa
2 1 1
direct
0.000 0.000 0.500
0.000 0.500 0.000
0.500 0.500 0.500
0.500 0.000 0.000
```



9.
LiTc2Ru | GGA-PBE | relaxed

## Properties
- total magnetization (μB/f.u.) = 0.00
- ΔE to the lowest computed polymorph (meV/atom) = 540.1
- ΔH_f (0 K) (meV/atom) = 706
- symmetry = No. 122

The structure in POSCAR format:
```
LiTc2Ru
1.0
7.017 0.000 0.000
0.000 7.017 0.000
3.509 3.509 2.503
Tc Li Ru
4 2 2
direct
0.099 0.625 0.250
0.651 0.125 0.250
0.875 0.901 0.750
0.375 0.349 0.750
0.250 0.750 0.500
0.500 0.500 0.000
0.750 0.250 0.500
0.000 0.000 0.000
```



10.
TbPr2YTe5 | GGA-PBE | relaxed

## Properties
- total magnetization (μB/f.u.) = 0.61
- symmetry = No. 123
- formation energy (no corrections) (eV/atom) = -0.829

The structure in POSCAR format:
```
TbPr2YTe5
1.0
-2.253 2.015 -4.679
4.214 -2.138 -2.950
-5.952 -9.839 -1.370
Pr Te Y Tb
2 5 1 1
direct
0.500 0.500 0.665
0.500 0.500 0.335
0.500 0.000 0.500
0.000 0.000 0.245
0.000 0.500 0.500
0.000 0.000 0.755
0.500 0.500 0.000
0.000 0.000 0.000
0.000 0.000 0.500
```



11.
Li4GaH2 | GGA-PBE | relaxed

## Properties
- total magnetization (μB/f.u.) = 1.00
- symmetry = No. 139
- total energy (eV per atom) = -2.312

The structure in POSCAR format:
```
Li4GaH2
1.0
-4.282 -1.742 -2.090
-0.033 -3.864 3.288
-4.842 -0.051 3.806
Li H Ga
4 2 1
direct
0.500 0.000 0.000
0.000 0.500 0.000
0.253 0.253 0.493
0.747 0.747 0.507
0.538 0.538 0.923
0.462 0.462 0.077
0.000 0.000 0.000
```



12.
Al3V8 | GGA-PBE | relaxed

## Properties
- total magnetization (μB/f.u.) = 0.00
- ΔH_f (0 K) (meV/atom) = -84
- symmetry = No. 71

The structure in POSCAR format:
```
Al3V8
1.0
-0.831 -2.370 -0.458
3.626 -1.604 1.721
-7.442 1.698 11.835
Al V
3 8
direct
0.136 0.636 0.271
0.864 0.364 0.729
0.000 0.000 0.000
0.274 0.274 0.548
0.410 0.910 0.821
0.455 0.455 0.910
0.319 0.819 0.638
0.545 0.545 0.090
0.590 0.090 0.179
0.681 0.181 0.362
0.726 0.726 0.452
```